Entry 1:
# HfGa3Cu2 (PBE, optimized geometry)
# Relative energy among the computed polymorphs: 0.0 meV/atom
# Formation enthalpy at 0 K: -0.232 eV per atom
# SG: Cmmm
# Density: 9.223 g/cm³
# DOS(E_F): 0.3036 states/eV per atom
data_HfGa3Cu2
_chemical_formula_sum 'Hf1 Ga3 Cu2'
_cell_length_a 6.318
_cell_length_b 6.318
_cell_length_c 3.941
_cell_angle_alpha 90.00
_cell_angle_beta 90.00
_cell_angle_gamma 143.90
_space_group_name_H-M_alt 'P 1'
_space_group_IT_number 1
loop_
_space_group_symop_operation_xyz
'x,y,z'
loop_
_atom_site_label
_atom_site_fract_x
_atom_site_fract_y
_atom_site_fract_z
Hf1 0.000 0.000 0.000
Ga1 0.171 0.829 0.500
Ga2 0.500 0.500 0.500
Ga3 0.829 0.171 0.500
Cu1 0.318 0.682 0.000
Cu2 0.682 0.318 0.000



Entry 2:
# HfGa2Cu9 (PBE, optimized geometry)
# Formation enthalpy at 0 K: -0.036 eV per atom
# SG: R-3m
# Density: 9.003 g/cm³
# DOS(E_F): 0.5711 states/eV per atom
data_HfGa2Cu9
_chemical_formula_sum 'Hf1 Ga2 Cu9'
_cell_length_a 8.443
_cell_length_b 8.443
_cell_length_c 8.443
_cell_angle_alpha 33.59
_cell_angle_beta 33.59
_cell_angle_gamma 33.59
_space_group_name_H-M_alt 'P 1'
_space_group_IT_number 1
loop_
_space_group_symop_operation_xyz
'x,y,z'
loop_
_atom_site_label
_atom_site_fract_x
_atom_site_fract_y
_atom_site_fract_z
Hf1 0.000 0.000 0.000
Ga1 0.140 0.140 0.140
Ga2 0.860 0.860 0.860
Cu1 0.081 0.588 0.588
Cu2 0.334 0.334 0.334
Cu3 0.412 0.412 0.919
Cu4 0.412 0.919 0.412
Cu5 0.500 0.500 0.500
Cu6 0.588 0.081 0.588
Cu7 0.588 0.588 0.081
Cu8 0.666 0.666 0.666
Cu9 0.919 0.412 0.412



Entry 3:
# Hf8GaCu2 (PBE, optimized geometry)
# Formation enthalpy at 0 K: 0.027 eV per atom
# SG: C2/m
# Density: 12.049 g/cm³
# DOS(E_F): 0.9993 states/eV per atom
data_Hf8GaCu2
_chemical_formula_sum 'Hf8 Ga1 Cu2'
_cell_length_a 7.409
_cell_length_b 7.409
_cell_length_c 4.734
_cell_angle_alpha 99.39
_cell_angle_beta 99.39
_cell_angle_gamma 115.20
_space_group_name_H-M_alt 'P 1'
_space_group_IT_number 1
loop_
_space_group_symop_operation_xyz
'x,y,z'
loop_
_atom_site_label
_atom_site_fract_x
_atom_site_fract_y
_atom_site_fract_z
Hf1 0.080 0.318 0.590
Hf2 0.234 0.766 0.000
Hf3 0.318 0.080 0.590
Hf4 0.389 0.389 0.186
Hf5 0.611 0.611 0.814
Hf6 0.682 0.920 0.410
Hf7 0.766 0.234 0.000
Hf8 0.920 0.682 0.410
Ga1 0.000 0.000 0.000
Cu1 0.312 0.688 0.500
Cu2 0.688 0.312 0.500



Entry 4:
# HfGaCu (PBE, optimized geometry)
# Formation enthalpy at 0 K: -0.220 eV per atom
# SG: P-1
# Density: 10.475 g/cm³
# DOS(E_F): 0.5348 states/eV per atom
data_HfGaCu
_chemical_formula_sum 'Hf2 Ga2 Cu2'
_cell_length_a 2.916
_cell_length_b 4.936
_cell_length_c 7.229
_cell_angle_alpha 103.95
_cell_angle_beta 101.48
_cell_angle_gamma 90.01
_space_group_name_H-M_alt 'P 1'
_space_group_IT_number 1
loop_
_space_group_symop_operation_xyz
'x,y,z'
loop_
_atom_site_label
_atom_site_fract_x
_atom_site_fract_y
_atom_site_fract_z
Hf1 0.080 0.298 0.155
Hf2 0.920 0.702 0.845
Ga1 0.390 0.175 0.780
Ga2 0.610 0.825 0.220
Cu1 0.253 0.726 0.505
Cu2 0.747 0.274 0.495



Entry 5:
# Hf2Ga2Cu (PBE, optimized geometry)
# Relative energy among the computed polymorphs: 0.0 meV/atom
# Formation enthalpy at 0 K: -0.444 eV per atom
# SG: C2/m
# Density: 10.756 g/cm³
# DOS(E_F): 0.3656 states/eV per atom
data_Hf2Ga2Cu
_chemical_formula_sum 'Hf4 Ga4 Cu2'
_cell_length_a 5.378
_cell_length_b 5.378
_cell_length_c 9.561
_cell_angle_alpha 114.79
_cell_angle_beta 114.79
_cell_angle_gamma 44.53
_space_group_name_H-M_alt 'P 1'
_space_group_IT_number 1
loop_
_space_group_symop_operation_xyz
'x,y,z'
loop_
_atom_site_label
_atom_site_fract_x
_atom_site_fract_y
_atom_site_fract_z
Hf1 0.001 0.001 0.321
Hf2 0.182 0.182 0.096
Hf3 0.818 0.818 0.904
Hf4 0.999 0.999 0.679
Ga1 0.356 0.356 0.435
Ga2 0.473 0.473 0.117
Ga3 0.527 0.527 0.883
Ga4 0.644 0.644 0.565
Cu1 0.279 0.279 0.656
Cu2 0.721 0.721 0.344



Entry 6:
# HfGaCu (PBE, optimized geometry)
# Formation enthalpy at 0 K: -0.241 eV per atom
# SG: P4/nmm
# Density: 10.430 g/cm³
# DOS(E_F): 0.8279 states/eV per atom
data_HfGaCu
_chemical_formula_sum 'Hf2 Ga2 Cu2'
_cell_length_a 3.805
_cell_length_b 3.805
_cell_length_c 6.856
_cell_angle_alpha 90.00
_cell_angle_beta 90.00
_cell_angle_gamma 90.00
_space_group_name_H-M_alt 'P 1'
_space_group_IT_number 1
loop_
_space_group_symop_operation_xyz
'x,y,z'
loop_
_atom_site_label
_atom_site_fract_x
_atom_site_fract_y
_atom_site_fract_z
Hf1 0.250 0.250 0.142
Hf2 0.750 0.750 0.858
Ga1 0.250 0.750 0.500
Ga2 0.750 0.250 0.500
Cu1 0.250 0.250 0.748
Cu2 0.750 0.750 0.252



Entry 7:
# HfGaCu (PBE, optimized geometry)
# Formation enthalpy at 0 K: -0.200 eV per atom
# SG: P1
# Density: 10.209 g/cm³
# DOS(E_F): 0.7394 states/eV per atom
data_HfGaCu
_chemical_formula_sum 'Hf2 Ga2 Cu2'
_cell_length_a 3.058
_cell_length_b 4.987
_cell_length_c 6.844
_cell_angle_alpha 76.40
_cell_angle_beta 89.50
_cell_angle_gamma 89.29
_space_group_name_H-M_alt 'P 1'
_space_group_IT_number 1
loop_
_space_group_symop_operation_xyz
'x,y,z'
loop_
_atom_site_label
_atom_site_fract_x
_atom_site_fract_y
_atom_site_fract_z
Hf1 0.000 0.000 0.000
Hf2 0.011 0.235 0.383
Ga1 0.496 0.382 0.701
Ga2 0.504 0.747 0.350
Cu1 0.508 0.502 0.038
Cu2 0.513 0.876 0.693



Entry 8:
# HfGa3Cu (PBE, optimized geometry)
# Relative energy among the computed polymorphs: 1052.8 meV/atom
# Formation enthalpy at 0 K: 0.927 eV per atom
# SG: Pm-3m
# Density: 5.388 g/cm³
# DOS(E_F): 0.7292 states/eV per atom
data_HfGa3Cu
_chemical_formula_sum 'Hf1 Ga3 Cu1'
_cell_length_a 5.181
_cell_length_b 5.181
_cell_length_c 5.181
_cell_angle_alpha 90.00
_cell_angle_beta 90.00
_cell_angle_gamma 90.00
_space_group_name_H-M_alt 'P 1'
_space_group_IT_number 1
loop_
_space_group_symop_operation_xyz
'x,y,z'
loop_
_atom_site_label
_atom_site_fract_x
_atom_site_fract_y
_atom_site_fract_z
Hf1 0.000 0.000 0.000
Ga1 0.000 0.000 0.500
Ga2 0.000 0.500 0.000
Ga3 0.500 0.000 0.000
Cu1 0.500 0.500 0.500